Entry 1:
Material: Cu5AgAu2
Method: DFT, GGA-PBE
State: optimized geometry

Geometry as extended XYZ:
```
16
Lattice="5.468 0.000 0.000 0.000 10.874 0.000 0.000 0.000 3.857" Properties=species:S:1:pos:R:3 pbc="T T T"
Cu 0.000 0.000 0.000
Cu 0.122 2.666 0.000
Cu 1.321 6.806 1.928
Cu 1.412 1.369 1.928
Cu 2.612 8.103 0.000
Cu 2.734 5.437 0.000
Cu 2.856 2.771 0.000
Cu 4.055 9.505 1.928
Cu 4.146 4.068 1.928
Cu 5.346 8.208 0.000
Ag 0.000 5.437 0.000
Ag 2.734 0.000 0.000
Au 1.255 9.452 1.928
Au 1.479 4.015 1.928
Au 3.989 6.859 1.928
Au 4.213 1.422 1.928
```

Properties
For the size of the total moment, the calculation gives 0.00 μB per cell. For the total energy, the calculation gives -3.730 eV/atom. The formation enthalpy at 0 K comes out at 0.006 eV per atom. As for the density of states at the Fermi level: 2.36 states/eV/f.u.

---

Entry 2:
Material: Pm6NdSm4
Method: DFT, GGA-PBE
State: optimized geometry

Geometry as extended XYZ:
```
11
Lattice="-3.840 3.840 6.747 3.840 -3.840 6.747 3.840 3.840 -6.747" Properties=species:S:1:pos:R:3 pbc="T T T"
Pm 3.840 0.000 0.000
Pm 2.062 -2.062 4.218
Pm 1.778 1.778 2.530
Pm 0.000 3.840 0.000
Pm -2.062 2.062 4.218
Pm 2.062 2.062 9.277
Nd 0.000 0.000 0.000
Sm 2.540 2.540 -1.069
Sm 1.301 -1.301 7.817
Sm 1.301 1.301 5.678
Sm -1.301 1.301 7.817
```

Properties
For the size of the total moment, the calculation gives 0.00 μB per cell. For the total energy, the calculation gives -4.371 eV/atom. The formation enthalpy at 0 K comes out at 0.369 eV per atom. As for the density of states at the Fermi level: 13.29 states/eV/f.u.

---

Entry 3:
Material: Fe3PW
Method: DFT, GGA-PBE
State: optimized geometry

Geometry as extended XYZ:
```
5
Lattice="4.499 0.000 0.000 0.000 4.499 0.000 0.000 0.000 4.499" Properties=species:S:1:pos:R:3 pbc="T T T"
Fe 0.000 0.000 2.250
Fe 0.000 2.250 0.000
Fe 2.250 0.000 0.000
P 2.250 2.250 2.250
W 0.000 0.000 0.000
```

Properties
For the size of the total moment, the calculation gives 5.15 μB per cell. For the total energy, the calculation gives -6.987 eV/atom. The formation enthalpy at 0 K comes out at 1.763 eV per atom. As for the density of states at the Fermi level: 8.46 states/eV/f.u.

---

Entry 4:
Material: Tm2Ge3Ru
Method: DFT, GGA-PBE
State: optimized geometry

Geometry as extended XYZ:
```
6
Lattice="-2.196 2.788 5.045 2.196 -2.788 5.045 2.196 2.788 -5.045" Properties=species:S:1:pos:R:3 pbc="T T T"
Tm 0.000 0.000 1.849
Tm 0.000 0.000 8.241
Ge 2.196 0.000 0.000
Ge 2.196 0.000 3.734
Ge 0.000 2.788 1.311
Ru 0.000 0.000 5.045
```

Properties
For the size of the total moment, the calculation gives 0.00 μB per cell. For the total energy, the calculation gives -5.711 eV/atom. The formation enthalpy at 0 K comes out at -0.366 eV per atom. As for the density of states at the Fermi level: 6.00 states/eV/f.u.